[1]
Material: BeV3Cd
Method: DFT, PBE
State: relaxed Values from VASP.

The structure in Quantum ESPRESSO input format:
```
&SYSTEM
  ibrav = 0, nat = 5, ntyp = 3
/
ATOMIC_SPECIES
V 50.94 V.upf
Cd 112.41 Cd.upf
Be 9.01 Be.upf
CELL_PARAMETERS angstrom
-2.101 1.618 4.199
3.090 -2.851 2.644
3.272 3.731 0.199
ATOMIC_POSITIONS angstrom
V -1.050 0.809 2.100
V 1.545 -1.425 1.322
Cd 0.000 0.000 0.000
V 1.636 1.866 0.099
Be 2.131 1.249 3.521
```

Properties
**Energy of formation**: 2.160 eV/atom

[2]
Material: Tb6Ga2Pd
Method: DFT, PBE
State: relaxed Values from VASP.

The structure in Quantum ESPRESSO input format:
```
&SYSTEM
  ibrav = 0, nat = 18, ntyp = 3
/
ATOMIC_SPECIES
Tb 158.93 Tb.upf
Ga 69.72 Ga.upf
Pd 106.42 Pd.upf
CELL_PARAMETERS angstrom
-5.228 6.487 -1.756
-2.175 -6.790 -4.654
-0.530 -2.215 8.204
ATOMIC_POSITIONS angstrom
Tb -5.005 -3.182 2.343
Tb -3.954 3.630 1.274
Tb -1.458 -3.036 5.414
Ga -3.896 -1.251 4.559
Tb -3.979 -6.148 0.520
Tb -1.805 -1.514 2.155
Tb -4.889 0.515 2.501
Tb -6.475 0.518 -3.621
Ga -4.037 -1.267 -2.765
Pd -7.403 -0.303 -6.410
Tb -6.128 -1.004 -0.362
Ga -3.699 2.744 4.142
Tb -2.928 0.663 -0.549
Tb -3.043 -3.034 -0.708
Tb -3.108 -5.853 3.866
Tb -4.825 3.335 -2.073
Ga -2.059 1.527 2.306
Pd -1.353 -4.503 1.775
```

Properties
**Energy of formation**: -0.446 eV/atom

[3]
Material: Cs2SrCdF6
Method: DFT, PBE
State: relaxed Values from VASP.

The structure in Quantum ESPRESSO input format:
```
&SYSTEM
  ibrav = 0, nat = 10, ntyp = 4
/
ATOMIC_SPECIES
F 19.00 F.upf
Cs 132.91 Cs.upf
Sr 87.62 Sr.upf
Cd 112.41 Cd.upf
CELL_PARAMETERS angstrom
6.626 0.000 0.000
0.000 6.626 0.000
3.313 3.313 4.686
ATOMIC_POSITIONS angstrom
F 6.626 6.626 2.276
F 3.313 3.313 2.410
Cs 6.626 3.313 2.343
Sr 3.313 3.313 0.000
Cs 3.313 6.626 2.343
Cd 0.000 0.000 0.000
F 1.609 5.017 0.000
F 5.017 5.017 0.000
F 5.017 1.609 0.000
F 1.609 1.609 0.000
```

Properties
**Energy relative to the elements, uncorrected**: -2.9521 eV/atom

[4]
Material: SmThCd4
Method: DFT, PBE
State: relaxed Values from VASP.

The structure in Quantum ESPRESSO input format:
```
&SYSTEM
  ibrav = 0, nat = 6, ntyp = 3
/
ATOMIC_SPECIES
Cd 112.41 Cd.upf
Sm 150.36 Sm.upf
Th 232.04 Th.upf
CELL_PARAMETERS angstrom
4.175 0.000 -1.289
-0.398 4.156 -1.289
0.561 0.618 9.222
ATOMIC_POSITIONS angstrom
Cd 2.922 0.919 2.060
Cd 2.064 2.271 6.685
Cd 3.702 1.776 4.584
Sm 0.000 0.000 0.000
Th 1.026 3.426 3.322
Cd 2.274 2.502 -0.041
```

Properties
**Energy of formation**: -0.056 eV/atom

[5]
Material: CoAgS2Cl
Method: DFT, PBE
State: relaxed Values from VASP.

The structure in Quantum ESPRESSO input format:
```
&SYSTEM
  ibrav = 0, nat = 5, ntyp = 4
/
ATOMIC_SPECIES
S 32.06 S.upf
Ag 107.87 Ag.upf
Co 58.93 Co.upf
Cl 35.45 Cl.upf
CELL_PARAMETERS angstrom
-3.157 -2.193 1.976
-1.214 -1.673 -3.796
3.408 -4.215 0.768
ATOMIC_POSITIONS angstrom
S -0.607 -0.836 -1.898
Ag -0.481 -4.040 -0.526
Co 0.000 0.000 0.000
Cl 1.704 -2.107 0.384
S -1.578 -1.096 0.988
```

Properties
**Energy relative to the elements, uncorrected**: 0.2130 eV/atom

[6]
Material: Tm2Sn2GeRh4
Method: DFT, PBE
State: relaxed Values from VASP.

The structure in Quantum ESPRESSO input format:
```
&SYSTEM
  ibrav = 0, nat = 9, ntyp = 4
/
ATOMIC_SPECIES
Sn 118.71 Sn.upf
Tm 168.93 Tm.upf
Rh 102.91 Rh.upf
Ge 72.64 Ge.upf
CELL_PARAMETERS angstrom
6.317 -0.081 -0.117
-3.103 5.503 0.117
-3.103 -1.824 5.193
ATOMIC_POSITIONS angstrom
Sn 0.055 -0.033 3.866
Tm -4.322 2.562 3.698
Rh 1.698 0.929 1.341
Rh -3.103 0.111 3.852
Sn 0.055 3.631 1.327
Rh -3.103 3.568 1.458
Tm -1.885 1.117 1.612
Ge 0.000 0.000 0.000
Rh -1.587 2.669 3.852
```

Properties
**Energy of formation**: -0.375 eV/atom

[7]
Material: NbAsOs2Pd
Method: DFT, PBE
State: relaxed Values from VASP.

The structure in Quantum ESPRESSO input format:
```
&SYSTEM
  ibrav = 0, nat = 5, ntyp = 4
/
ATOMIC_SPECIES
Nb 92.91 Nb.upf
Os 190.23 Os.upf
Pd 106.42 Pd.upf
As 74.92 As.upf
CELL_PARAMETERS angstrom
4.745 0.000 0.000
0.000 4.853 0.000
0.000 0.000 4.745
ATOMIC_POSITIONS angstrom
Nb 0.000 0.000 0.000
Os 0.000 0.000 2.372
Pd 0.000 2.426 0.000
Os 2.372 0.000 0.000
As 2.372 2.426 2.372
```

Properties
**Energy of formation**: 1.847 eV/atom

[8]
Material: InTe
Method: DFT, PBE
State: relaxed Values from VASP.

The structure in Quantum ESPRESSO input format:
```
&SYSTEM
  ibrav = 0, nat = 2, ntyp = 2
/
ATOMIC_SPECIES
In 114.82 In.upf
Te 127.60 Te.upf
CELL_PARAMETERS angstrom
3.873 0.000 0.000
0.000 3.873 0.000
0.000 0.000 3.873
ATOMIC_POSITIONS angstrom
In 0.000 0.000 0.000
Te 1.936 1.936 1.936
```

Properties
**Energy relative to the elements, uncorrected**: -0.0855 eV/atom

Number 1: calculated total energy -4.24 eV/atom. Number 2: calculated total energy -4.78 eV/atom. Number 3: calculated total energy -4.51 eV/atom. Number 4: calculated total energy -2.69 eV/atom. Number 5: calculated total energy -3.80 eV/atom. Number 6: calculated total energy -6.04 eV/atom. Number 7: calculated total energy -6.63 eV/atom. Number 8: calculated total energy -3.03 eV/atom.